No. 1
The following is a GGA-PBE calculation of crystalline AcHgTe at its relaxed geometry, from Alexandria via LeMat-Bulk.

Cell: 4.5945 6.5477 7.4955 Å, 79.64 72.25 89.91°
Last column: nearest neighbours and their distance in Å.
Fractional positions:
Ac1 0.1407 0.2023 0.2211  4 Te 3.34-3.35, 2 Hg 3.37
Ac2 0.8593 0.7977 0.7789  4 Te 3.34-3.35, 2 Hg 3.37
Hg1 0.4746 0.2578 0.5532  1 Hg 3.12, 2 Te 3.26, 2 Ac 3.37
Hg2 0.5254 0.7422 0.4468  1 Hg 3.12, 2 Te 3.26, 2 Ac 3.37
Te1 0.1860 0.7214 0.1269  2 Hg 3.26, 4 Ac 3.34-3.35
Te2 0.8140 0.2786 0.8731  2 Hg 3.26, 4 Ac 3.34-3.35

Output
* E_form (uncorrected): -877 meV per atom

***

No. 2
The following is a GGA-PBE calculation of crystalline TaTlPb2 at its relaxed geometry, from Alexandria via LeMat-Bulk.

Cell: 3.1865 3.1865 10.2410 Å, 90.00 90.00 90.00°
Last column: nearest neighbours and their distance in Å.
Fractional positions:
Ta1 0.0000 0.0000 0.0000  4 Tl 3.13, 4 Ta 3.19, 4 Pb 3.19
Tl1 0.5000 0.5000 0.2120  4 Ta 3.13, 4 Tl 3.19
Pb1 0.0000 0.0000 0.4783  4 Pb 3.19, 4 Tl 3.54
Pb2 0.5000 0.5000 0.7798  4 Pb 3.19, 4 Ta 3.19

Output
* energy of formation: 0.47 eV/atom

***

| no. | N(E_F) (states/eV/cell) |
| --- | --- |
| 1 | 3.8 |
| 2 | 2.7 |